Pr4Pu2Sb3N2 PBE optimized geometry; formation energy (no corrections) = -971 meV per atom; uncorrected energy = -7.9531 eV per atom; crystal system = tetragonal; volume = 27.73 Å³/atom; total magnetic moment = 0.9865 μB/atom; density of states at the Fermi level = 24.2 states/eV/cell
1.0
4.8703 0.0000 0.0000
0.0000 4.8703 0.0000
-2.4352 -2.4352 12.8585
Pr Pu Sb N
4 2 3 2
Direct
0.4147 0.9147 0.8295
0.9147 0.4147 0.8295
0.0853 0.5853 0.1705
0.5853 0.0853 0.1705
0.3066 0.3066 0.6131
0.6934 0.6934 0.3869
0.0000 0.0000 0.0000
0.1799 0.1799 0.3598
0.8201 0.8201 0.6402
0.3907 0.3907 0.7815
0.6093 0.6093 0.2185